<i>
LaTlGa2Co, relaxed, DFT GGA-PBE; D(E_F) = 4.5 states/eV/cell; space-group type = P4/mmm (123)
1.0
4.6773 0.0000 0.0000
0.0000 4.6773 0.0000
0.0000 0.0000 4.9780
Tl Co Ga La
1 1 2 1
Direct
0.0000 0.0000 0.5000 Tl
0.0000 0.0000 0.0000 Co
0.0000 0.5000 0.0000 Ga
0.5000 0.0000 0.0000 Ga
0.5000 0.5000 0.5000 La

---

<ii>
LaTlGa2Co, relaxed, DFT GGA-PBE; D(E_F) = 3.2 states/eV/cell; space-group type = P4/mmm (123)
1.0
-0.2770 2.7291 -3.9028
1.7021 -3.5944 -2.6343
-4.6859 -1.6282 -0.8060
Tl Co Ga La
1 1 2 1
Direct
0.5000 0.5000 0.5000 Tl
0.0000 0.0000 0.0000 Co
0.0000 0.5000 0.0000 Ga
0.5000 0.0000 0.0000 Ga
0.0000 0.0000 0.5000 La

---

Last place for stability: <i>

---

<i>
LiGa2Co2, relaxed, DFT GGA-PBE; D(E_F) = 9.6 states/eV/cell; space-group type = P4/mbm (127)
1.0
6.9705 0.0000 0.0000
0.0000 6.9705 0.0000
0.0000 0.0000 2.6956
Co Ga Li
4 4 2
Direct
0.3704 0.8704 0.0000 Co
0.8704 0.6296 0.0000 Co
0.6296 0.1296 0.0000 Co
0.1296 0.3704 0.0000 Co
0.1674 0.6674 0.5000 Ga
0.6674 0.8326 0.5000 Ga
0.8326 0.3326 0.5000 Ga
0.3326 0.1674 0.5000 Ga
0.0000 0.0000 0.0000 Li
0.5000 0.5000 0.0000 Li

---

<ii>
LiGa2Co2, relaxed, DFT GGA-PBE; D(E_F) = 3.8 states/eV/cell; space-group type = I4/mmm (139)
1.0
-0.2920 -3.9852 1.7771
2.0363 1.4508 3.5880
-2.6467 -0.2942 4.2862
Co Ga Li
2 2 1
Direct
0.3660 0.3660 0.2680 Co
0.6340 0.6340 0.7320 Co
0.7500 0.2500 0.5000 Ga
0.2500 0.7500 0.5000 Ga
0.0000 0.0000 0.0000 Li

---

<iii>
LiGa2Co2, relaxed, DFT GGA-PBE; D(E_F) = 6.6 states/eV/cell; space-group type = I4/mmm (139)
1.0
-1.4225 2.2061 -2.3925
-1.7034 -2.7296 -1.5041
-6.0871 0.6275 1.5616
Co Ga Li
2 2 1
Direct
0.7500 0.2500 0.5000 Co
0.2500 0.7500 0.5000 Co
0.3912 0.3912 0.2177 Ga
0.6088 0.6088 0.7823 Ga
0.0000 0.0000 0.0000 Li

---

Last place for stability: <ii>